1.
## KAcP2 (PBE)

Data for a geometry-optimized KAcP2 structure.

a b c (Å): 7.526 7.526 7.526
angles (deg): 90.00 90.00 90.00
Space group Fm-3m (No. 225)
One atom of each set of equivalent atoms:
K 0.000 0.000 0.000 (multiplicity 4)
Ac 0.000 0.000 0.500 (multiplicity 4)
P 0.250 0.250 0.250 (multiplicity 8)

Results
calculated formation energy = -0.43 eV per atom

2.
## RbAu3Br (PBE)

Data for a geometry-optimized RbAu3Br structure.

a b c (Å): 5.444 5.444 5.444
angles (deg): 90.00 90.00 90.00
Space group Pm-3m (No. 221)
One atom of each set of equivalent atoms:
Rb 0.000 0.000 0.000 (multiplicity 1)
Au 0.000 0.500 0.500 (multiplicity 3)
Br 0.500 0.500 0.500 (multiplicity 1)

Results
total energy = -2.151 eV per atom

3.
## CsRhI2N (PBE)

Data for a geometry-optimized CsRhI2N structure.

a b c (Å): 6.993 6.993 4.828
angles (deg): 90.00 90.00 90.00
Space group P4/mmm (No. 123)
One atom of each set of equivalent atoms:
Cs 0.000 0.000 0.000 (multiplicity 1)
Rh 0.500 0.500 0.500 (multiplicity 1)
I 0.000 0.500 0.000 (multiplicity 2)
N 0.000 0.000 0.500 (multiplicity 1)

Results
total energy = -2.245 eV per atom

4.
## Ho6Er3Cd (PBE)

Data for a geometry-optimized Ho6Er3Cd structure.

a b c (Å): 10.889 4.958 11.075
angles (deg): 90.00 91.31 90.00
Space group P2_1/m (No. 11)
One atom of each set of equivalent atoms:
Ho 0.047 0.250 0.397 (multiplicity 2)
Ho 0.139 0.750 0.186 (multiplicity 2)
Ho 0.153 0.250 0.692 (multiplicity 2)
Ho 0.237 0.250 0.995 (multiplicity 2)
Ho 0.347 0.750 0.799 (multiplicity 2)
Ho 0.449 0.250 0.602 (multiplicity 2)
Er 0.248 0.750 0.493 (multiplicity 2)
Er 0.346 0.250 0.293 (multiplicity 2)
Er 0.448 0.750 0.099 (multiplicity 2)
Cd 0.052 0.750 0.894 (multiplicity 2)

Results
calculated formation energy = -0.02 eV per atom

5.
## ZrSc2Nb2 (PBE)

Data for a geometry-optimized ZrSc2Nb2 structure.

a b c (Å): 7.575 7.575 3.754
angles (deg): 90.00 90.00 90.00
Space group P4/mbm (No. 127)
One atom of each set of equivalent atoms:
Zr 0.000 0.000 0.000 (multiplicity 2)
Sc 0.166 0.334 0.500 (multiplicity 4)
Nb 0.128 0.628 0.000 (multiplicity 4)

Results
calculated formation energy = 0.26 eV per atom

6.
## Na4CdBi3 (PBE)

Data for a geometry-optimized Na4CdBi3 structure.

a b c (Å): 12.560 12.560 6.095
angles (deg): 90.00 90.00 90.00
Space group I4/mcm (No. 140)
One atom of each set of equivalent atoms:
Na 0.082 0.228 0.000 (multiplicity 16)
Cd 0.000 0.500 0.250 (multiplicity 4)
Bi 0.000 0.000 0.250 (multiplicity 4)
Bi 0.153 0.347 0.500 (multiplicity 8)

Results
calculated formation energy = -0.23 eV per atom

7.
## Th6Te3P2Pb (PBE)

Data for a geometry-optimized Th6Te3P2Pb structure.

a b c (Å): 19.311 4.335 8.892
angles (deg): 90.00 104.92 90.00
Space group C2/m (No. 12)
One atom of each set of equivalent atoms:
Th 0.021 0.000 0.261 (multiplicity 4)
Th 0.171 0.500 0.127 (multiplicity 4)
Th 0.175 0.500 0.561 (multiplicity 4)
Te 0.000 0.500 0.500 (multiplicity 2)
Te 0.159 0.000 0.837 (multiplicity 4)
P 0.173 0.000 0.342 (multiplicity 4)
Pb 0.000 0.500 0.000 (multiplicity 2)

Results
total energy = -6.813 eV per atom

8.
## RbBa2I (PBE)

Data for a geometry-optimized RbBa2I structure.

a b c (Å): 4.5910 4.5910 39.7095
angles (deg): 90.00 90.00 120.00
Space group R3m (No. 160, hexagonal axes)
One atom of each set of equivalent atoms:
Rb 0.0000 0.0000 0.0000 (multiplicity 3)
Ba 0.0000 0.0000 0.2303 (multiplicity 3)
Ba 0.0000 0.0000 0.4360 (multiplicity 3)
I 0.0000 0.0000 0.8332 (multiplicity 3)

Results
total energy = -2.157 eV per atom

9.
## Bi3RhN (PBE)

Data for a geometry-optimized Bi3RhN structure.

a b c (Å): 4.834 4.834 4.834
angles (deg): 90.00 90.00 90.00
Space group Pm-3m (No. 221)
One atom of each set of equivalent atoms:
Bi 0.000 0.000 0.500 (multiplicity 3)
Rh 0.500 0.500 0.500 (multiplicity 1)
N 0.000 0.000 0.000 (multiplicity 1)

Results
total energy = -4.824 eV per atom

10.
## PmTl2TeSe4 (PBE)

Data for a geometry-optimized PmTl2TeSe4 structure.

a b c (Å): 7.687 4.209 8.069
angles (deg): 90.00 109.52 90.00
Space group P2/m (No. 10)
One atom of each set of equivalent atoms:
Pm 0.000 0.000 0.000 (multiplicity 1)
Tl 0.000 0.500 0.500 (multiplicity 1)
Tl 0.500 0.000 0.500 (multiplicity 1)
Te 0.500 0.500 0.000 (multiplicity 1)
Se 0.214 0.500 0.234 (multiplicity 2)
Se 0.274 0.000 0.801 (multiplicity 2)

Results
total energy = -4.025 eV per atom

11.
## Ho8TlGe3Te4 (PBE)

Data for a geometry-optimized Ho8TlGe3Te4 structure.

a b c (Å): 8.4886 8.4886 21.3898
angles (deg): 90.00 90.00 120.00
Space group R-3m (No. 166, hexagonal axes)
One atom of each set of equivalent atoms:
Ho 0.0000 0.0000 0.2388 (multiplicity 6)
Ho 0.0109 0.5054 0.7571 (multiplicity 18)
Tl 0.0000 0.0000 0.5000 (multiplicity 3)
Ge 0.0000 0.5000 0.5000 (multiplicity 9)
Te 0.0000 0.0000 0.0000 (multiplicity 3)
Te 0.0000 0.5000 0.0000 (multiplicity 9)

Results
total energy = -5.138 eV per atom

12.
## ScSiHg (PBE)

Data for a geometry-optimized ScSiHg structure.

a b c (Å): 5.324 6.883 6.682
angles (deg): 90.00 90.00 90.00
Space group Imma (No. 74)
One atom of each set of equivalent atoms:
Sc 0.000 0.000 0.000 (multiplicity 4)
Si 0.250 0.250 0.250 (multiplicity 4)
Hg 0.000 0.250 0.620 (multiplicity 4)

Results
total energy = -4.297 eV per atom

13.
## Si2O5 (PBE)

Data for a geometry-optimized Si2O5 structure.

a b c (Å): 12.654 6.465 5.110
angles (deg): 90.00 90.00 90.00
Space group Ima2 (No. 46)
One atom of each set of equivalent atoms:
Si 0.114 0.110 0.000 (multiplicity 8)
O 0.000 0.000 0.038 (multiplicity 4)
O 0.129 0.201 0.706 (multiplicity 8)
O 0.192 0.591 0.558 (multiplicity 8)

Results
total energy = -7.192 eV per atom

| no. | magnetization (μB per cell) |
| --- | --- |
| 1 | 1.8 |
| 2 | 0.0 |
| 3 | 4.1 |
| 4 | 0.0 |
| 5 | 0.0 |
| 6 | 0.0 |
| 7 | 0.0 |
| 8 | 0.8 |
| 9 | 0.0 |
| 10 | 0.0 |
| 11 | 0.0 |
| 12 | 0.0 |
| 13 | 0.0 |